# NiTeCN2

Crystalline NiTeCN2 at its relaxed geometry (PBE-GGA, Alexandria via LeMat-Bulk).

a = 3.3056 Å, b = 3.3056 Å, c = 7.1693 Å
α = 90.00°, β = 90.00°, γ = 90.00°
Last column: nearest neighbours and their distance in Å.
Atoms (fractional coordinates):
Ni: 0.5000 0.5000 0.5000  4 Te 2.34
C: 0.0000 0.0000 0.0000  4 N 1.65
Te: 0.0000 0.0000 0.5000  4 Ni 2.34
N: 0.0000 0.5000 0.0000  2 C 1.65
N: 0.5000 0.0000 0.0000  2 C 1.65

Values from the calculation:
- V (Å³/cell) = 78.3
- E above lowest polymorph (eV/atom) = 0.235
- formation energy from raw total energies (kcal/mol of atoms) = 49.986
- Fermi-level density of states (states/eV per cell) = 3.36

=====

# ErSi3Pd

Crystalline ErSi3Pd at its relaxed geometry (PBE-GGA, Alexandria via LeMat-Bulk).

a = 5.4921 Å, b = 5.5601 Å, c = 5.5161 Å
α = 90.00°, β = 90.00°, γ = 95.24°
Last column: nearest neighbours and their distance in Å.
Atoms (fractional coordinates):
Er: 0.1861 0.6531 0.7500  4 Pd 2.89-3.21, 8 Si 2.90-3.15
Er: 0.8139 0.3469 0.2500  4 Pd 2.89-3.21, 8 Si 2.90-3.15
Si: 0.6651 0.8099 0.9770  2 Pd 2.46-2.63, 3 Si 2.50-2.59
Si: 0.3349 0.1901 0.4770  2 Pd 2.46-2.63, 3 Si 2.50-2.59
Si: 0.3319 0.5892 0.2500  1 Pd 2.49, 4 Si 2.55-2.59
Si: 0.3349 0.1901 0.0230  2 Pd 2.46-2.63, 3 Si 2.50-2.59
Si: 0.6681 0.4108 0.7500  1 Pd 2.49, 4 Si 2.55-2.59
Si: 0.6651 0.8099 0.5230  2 Pd 2.46-2.63, 3 Si 2.50-2.59
Pd: 0.9815 0.1148 0.7500  5 Si 2.46-2.63
Pd: 0.0185 0.8852 0.2500  5 Si 2.46-2.63

Values from the calculation:
- V (Å³/cell) = 167.7
- formation energy from raw total energies (kcal/mol of atoms) = -12.476
- Fermi-level density of states (states/eV per cell) = 3.80

=====

# GaSiGe2

Crystalline GaSiGe2 at its relaxed geometry (PBE-GGA, Alexandria via LeMat-Bulk).

a = 5.7469 Å, b = 5.7469 Å, c = 6.8993 Å
α = 65.39°, β = 65.39°, γ = 90.00°
Last column: nearest neighbours and their distance in Å.
Atoms (fractional coordinates):
Ge: 0.6131 0.1250 0.2500  2 Si 2.42, 2 Ga 2.50
Ge: 0.1369 0.6250 0.2500  2 Si 2.42, 2 Ga 2.50
Ge: 0.3750 0.3869 0.7500  2 Si 2.42, 2 Ga 2.50
Ge: 0.8750 0.8631 0.7500  2 Si 2.42, 2 Ga 2.50
Si: 0.5000 0.5000 0.0000  4 Ge 2.42
Si: 0.2500 0.7500 0.5000  4 Ge 2.42
Ga: 0.0000 0.0000 0.0000  4 Ge 2.50
Ga: 0.7500 0.2500 0.5000  4 Ge 2.50

Values from the calculation:
- V (Å³/cell) = 184.1
- E above lowest polymorph (eV/atom) = 0.000
- formation energy from raw total energies (kcal/mol of atoms) = 2.215
- Fermi-level density of states (states/eV per cell) = 3.38

=====

# Zr3TlCo

Crystalline Zr3TlCo at its relaxed geometry (PBE-GGA, Alexandria via LeMat-Bulk).

a = 3.4283 Å, b = 7.6227 Å, c = 8.6332 Å
α = 95.93°, β = 101.27°, γ = 103.16°
Last column: nearest neighbours and their distance in Å.
Atoms (fractional coordinates):
Zr: 0.0450 0.2069 0.9696  1 Co 2.69
Zr: 0.5480 0.7306 0.4387  2 Co 2.53
Zr: 0.5852 0.4821 0.7700  2 Co 2.55
Zr: 0.3610 0.8235 0.9829  2 Co 2.53
Zr: 0.3238 0.0720 0.6515  2 Co 2.55
Zr: 0.8640 0.3471 0.4520  1 Co 2.69
Tl: 0.7935 0.5278 0.1472  8 Zr 3.09-3.26, 2 Tl 3.43
Tl: 0.1155 0.0263 0.2743  8 Zr 3.09-3.26, 2 Tl 3.43
Co: 0.1183 0.6709 0.6442  2 Co 2.48, 5 Zr 2.53-2.69
Co: 0.7906 0.8831 0.7773  2 Co 2.48, 5 Zr 2.53-2.69

Values from the calculation:
- formation energy (eV per atom) = -0.14
- V (Å³/cell) = 212.9
- E above lowest polymorph (eV/atom) = 0.000
- Fermi-level density of states (states/eV per cell) = 11.40

=====

# ReHgAsO6

Crystalline ReHgAsO6 at its relaxed geometry (PBE-GGA, Alexandria via LeMat-Bulk).

a = 5.2488 Å, b = 5.2488 Å, c = 4.9548 Å
α = 90.00°, β = 90.00°, γ = 60.00°
Last column: nearest neighbours and their distance in Å.
Atoms (fractional coordinates):
Re: 0.3333 0.3333 0.5000  6 O 1.93
Hg: 0.0000 0.0000 0.0000  6 O 2.43
As: 0.6666 0.6667 0.5000  6 O 1.99
O: 0.0085 0.3706 0.2861  1 Re 1.93, 1 As 1.99
O: 0.3706 0.0085 0.7139  1 Re 1.93, 1 As 1.99
O: 0.6208 0.3706 0.7139  1 Re 1.93, 1 As 1.99
O: 0.0085 0.6208 0.7139  1 Re 1.93, 1 As 1.99
O: 0.3706 0.6209 0.2861  1 Re 1.93, 1 As 1.99
O: 0.6208 0.0086 0.2861  1 Re 1.93, 1 As 1.99

Values from the calculation:
- V (Å³/cell) = 118.2
- formation energy from raw total energies (kcal/mol of atoms) = -24.646
- Fermi-level density of states (states/eV per cell) = 1.84

=====

# Li2CeDyAu4

Crystalline Li2CeDyAu4 at its relaxed geometry (PBE-GGA, Alexandria via LeMat-Bulk).

a = 4.9966 Å, b = 4.9966 Å, c = 8.3075 Å
α = 72.50°, β = 72.50°, γ = 60.00°
Last column: nearest neighbours and their distance in Å.
Atoms (fractional coordinates):
Li: 0.7505 0.7505 0.7486  5 Au 2.76-3.07
Li: 0.2495 0.2495 0.2514  5 Au 2.76-3.07
Ce: 0.0000 0.0000 0.0000  8 Au 3.02-3.07
Dy: 0.5000 0.5000 0.5000  8 Au 2.99-3.00
Au: 0.3722 0.3722 0.8835  4 Li 2.87-3.07, 1 Dy 2.99, 3 Ce 3.02
Au: 0.8685 0.8685 0.3945  1 Li 2.76, 3 Dy 3.00, 1 Ce 3.07
Au: 0.1315 0.1315 0.6055  1 Li 2.76, 3 Dy 3.00, 1 Ce 3.07
Au: 0.6278 0.6278 0.1165  4 Li 2.87-3.07, 1 Dy 2.99, 3 Ce 3.02

Values from the calculation:
- formation energy (eV per atom) = -0.64
- V (Å³/cell) = 168.4
- Fermi-level density of states (states/eV per cell) = 9.73

=====

# Sc2SF

Crystalline Sc2SF at its relaxed geometry (PBE-GGA, Alexandria via LeMat-Bulk).

a = 5.4042 Å, b = 5.4042 Å, c = 6.6471 Å
α = 66.01°, β = 66.01°, γ = 90.00°
Last column: nearest neighbours and their distance in Å.
Atoms (fractional coordinates):
Sc: 0.5911 0.1250 0.2500  2 F 2.24, 2 S 2.46
Sc: 0.1589 0.6250 0.2500  2 F 2.24, 2 S 2.46
Sc: 0.3750 0.4089 0.7500  2 F 2.24, 2 S 2.46
Sc: 0.8750 0.8411 0.7500  2 F 2.24, 2 S 2.46
S: 0.0000 0.0000 0.0000  4 Sc 2.46
S: 0.7500 0.2500 0.5000  4 Sc 2.46
F: 0.5000 0.5000 0.0000  4 Sc 2.24
F: 0.2500 0.7500 0.5000  4 Sc 2.24

Values from the calculation:
- V (Å³/cell) = 158.8
- E above lowest polymorph (eV/atom) = 0.283
- formation energy from raw total energies (kcal/mol of atoms) = -40.159
- Fermi-level density of states (states/eV per cell) = 6.61

=====

# Sb3SeF

Crystalline Sb3SeF at its relaxed geometry (PBE-GGA, Alexandria via LeMat-Bulk).

a = 5.4048 Å, b = 5.4048 Å, c = 5.4048 Å
α = 90.00°, β = 90.00°, γ = 90.00°
Last column: nearest neighbours and their distance in Å.
Atoms (fractional coordinates):
Sb: 0.0000 0.5000 0.0000  2 Se 2.70
Sb: 0.0000 0.0000 0.5000  2 Se 2.70
Sb: 0.5000 0.0000 0.0000  2 Se 2.70
Se: 0.0000 0.0000 0.0000  6 Sb 2.70
F: 0.5000 0.5000 0.5000  12 Sb 3.82

Values from the calculation:
- V (Å³/cell) = 157.9
- E above lowest polymorph (eV/atom) = 0.315
- formation energy from raw total energies (kcal/mol of atoms) = 10.345
- Fermi-level density of states (states/eV per cell) = 4.07

=====

# AcNd2SmDy

Crystalline AcNd2SmDy at its relaxed geometry (PBE-GGA, Alexandria via LeMat-Bulk).

a = 7.3930 Å, b = 8.4033 Å, c = 7.4357 Å
α = 124.41°, β = 90.00°, γ = 90.00°
Last column: nearest neighbours and their distance in Å.
Atoms (fractional coordinates):
Ac: 0.2500 0.7580 0.5159  1 Sm 3.65, 2 Dy 3.78, 4 Nd 4.02
Ac: 0.7500 0.2420 0.4841  1 Sm 3.65, 2 Dy 3.78, 4 Nd 4.02
Nd: 0.5000 0.3042 0.0000  2 Sm 3.23, 1 Nd 3.29, 2 Dy 3.44
Nd: 0.0000 0.6958 0.0000  2 Sm 3.23, 1 Nd 3.29, 2 Dy 3.44
Nd: 0.5000 0.6958 0.0000  2 Sm 3.23, 1 Nd 3.29, 2 Dy 3.44
Nd: 0.0000 0.3042 0.0000  2 Sm 3.23, 1 Nd 3.29, 2 Dy 3.44
Sm: 0.2500 0.0552 0.1104  1 Dy 3.07, 4 Nd 3.23
Sm: 0.7500 0.9448 0.8896  1 Dy 3.07, 4 Nd 3.23
Dy: 0.7500 0.6949 0.3898  1 Sm 3.07
Dy: 0.2500 0.3051 0.6102  1 Sm 3.07

Values from the calculation:
- formation energy (eV per atom) = 0.34
- V (Å³/cell) = 381.1
- Fermi-level density of states (states/eV per cell) = 13.47

=====

# Er3AlIn

Crystalline Er3AlIn at its relaxed geometry (PBE-GGA, Alexandria via LeMat-Bulk).

a = 5.1621 Å, b = 7.9401 Å, c = 7.9401 Å
α = 119.99°, β = 90.00°, γ = 90.00°
Last column: nearest neighbours and their distance in Å.
Atoms (fractional coordinates):
Er: 0.2500 0.8084 0.1916  2 Al 2.93, 2 In 3.24
Er: 0.7500 0.1916 0.8084  2 Al 2.93, 2 In 3.24
Er: 0.2500 0.8084 0.6170  2 Al 2.93, 2 In 3.23
Er: 0.7500 0.1916 0.3830  2 Al 2.93, 2 In 3.23
Er: 0.2500 0.3830 0.1916  2 Al 2.93, 2 In 3.23
Er: 0.7500 0.6170 0.8084  2 Al 2.93, 2 In 3.23
Al: 0.0000 0.0000 0.0000  2 Al 2.58
Al: 0.5000 0.0000 0.0000  2 Al 2.58
In: 0.2500 0.3335 0.6665  6 Er 3.23-3.24
In: 0.7500 0.6665 0.3335  6 Er 3.23-3.24

Values from the calculation:
- formation energy (eV per atom) = -0.13
- V (Å³/cell) = 281.9
- E above lowest polymorph (eV/atom) = 0.201
- Fermi-level density of states (states/eV per cell) = 9.72

=====

Short version: raw total energy = -4.79; -5.75; -4.33; -7.17; -6.31; -4.08; -6.41; -3.10; -4.25; -4.16 eV per atom, in the order given.